A geometry-optimized PmAl2In structure, computed with PBE.

Geometry as CIF:
```
data_PmAl2In
_space_group_name_H-M_alt 'P 1'
_space_group_IT_number 1
_space_group_name_Hall 'P 1'
_cell_length_a 4.578
_cell_length_b 4.578
_cell_length_c 5.862
_cell_angle_alpha 67.01
_cell_angle_beta 67.01
_cell_angle_gamma 60.00
loop_
_atom_site_label
_atom_site_fract_x
_atom_site_fract_y
_atom_site_fract_z
In1 0.000 0.000 0.000
Al1 0.279 0.279 0.164
Al2 0.721 0.721 0.836
Pm1 0.500 0.500 0.500
```

Results
E_tot = -15.711 eV per cell
Total magnetic moment = 0.00 Bohr magnetons per cell
Calculated density = 5.5 Mg/m³
Volume = 23.743 A^3/atom
Energy relative to the elements = -71 kJ/mol of formula units
N(E_F) = 2.00 states/eV/cell
Space group = No. 166
Relative energy among the computed polymorphs = 0.1951 eV/atom



A geometry-optimized Pm6AlIn structure, computed with PBE.

Geometry as CIF:
```
data_Pm6AlIn
_space_group_name_H-M_alt 'P 1'
_space_group_IT_number 1
_space_group_name_Hall 'P 1'
_cell_length_a 4.913
_cell_length_b 4.913
_cell_length_c 9.825
_cell_angle_alpha 90.00
_cell_angle_beta 90.00
_cell_angle_gamma 90.00
loop_
_atom_site_label
_atom_site_fract_x
_atom_site_fract_y
_atom_site_fract_z
Pm1 0.500 0.500 0.000
Pm2 0.500 0.500 0.500
Pm3 0.500 0.000 0.256
Pm4 0.500 0.000 0.744
Pm5 0.000 0.500 0.256
Pm6 0.000 0.500 0.744
Al1 0.000 0.000 0.500
In1 0.000 0.000 0.000
```

Results
E_tot = -36.754 eV per cell
Total magnetic moment = 0.01 Bohr magnetons per cell
Calculated density = 7.1 Mg/m³
Volume = 29.648 A^3/atom
Energy relative to the elements = -171 kJ/mol of formula units
N(E_F) = 14.47 states/eV/cell
Space group = No. 123